(1)
DFT (PBE) results for crystalline DyPaCuSn at its relaxed geometry.

The space group is F-43m (No. 216) and the conventional cell measures 7.270, 7.270 and 7.270 Å, with angles of 90.00, 90.00 and 90.00 degrees. The asymmetric unit holds Dy at (0.000, 0.000, 0.000), Pa at (0.000, 0.000, 0.500), Cu at (0.250, 0.250, 0.750) and Sn at (0.250, 0.250, 0.250).

The calculation puts the magnetization at 1.1 μB per formula unit. The calculated total energy is -5.617 eV per atom. The calculation puts the formation energy at -0.3 eV/f.u.



(2)
DFT (PBE) results for crystalline MgTePb at its relaxed geometry.

The space group is P3m1 (No. 156) and the conventional cell measures 4.2533, 4.2533 and 5.8941 Å, with angles of 90.00, 90.00 and 120.00 degrees. The asymmetric unit holds Mg at (0.0000, 0.0000, 0.0000), Te at (0.3333, 0.6667, 0.7504) and Pb at (0.6667, 0.3333, 0.3680).

The calculation puts the magnetization at 0.0 μB per formula unit. The energy above the lowest structure with this stoichiometry comes out at 112 meV/atom. The calculated total energy is -3.054 eV per atom. The uncorrected formation energy comes out at -239.2 meV per atom.



(3)
DFT (PBE) results for crystalline CaRhN2O at its relaxed geometry.

The space group is P4/mmm (No. 123) and the conventional cell measures 3.789, 3.789 and 4.414 Å, with angles of 90.00, 90.00 and 90.00 degrees. The asymmetric unit holds Ca at (0.000, 0.000, 0.000), Rh at (0.500, 0.500, 0.500), N at (0.000, 0.500, 0.500) and O at (0.500, 0.500, 0.000).

The calculation puts the magnetization at 0.0 μB per formula unit. The calculated total energy is -6.322 eV per atom. The uncorrected formation energy comes out at -129.4 meV per atom.



(4)
DFT (PBE) results for crystalline NaCdHPd2 at its relaxed geometry.

The space group is P4/mmm (No. 123) and the conventional cell measures 4.121, 4.121 and 4.299 Å, with angles of 90.00, 90.00 and 90.00 degrees. The asymmetric unit holds Na at (0.000, 0.000, 0.000), Cd at (0.500, 0.500, 0.000), H at (0.500, 0.500, 0.500) and Pd at (0.000, 0.500, 0.500).

The calculation puts the magnetization at 0.0 μB per formula unit. The energy above the lowest structure with this stoichiometry comes out at 127 meV/atom. The calculated total energy is -3.309 eV per atom.



(5)
DFT (PBE) results for crystalline GdLuCu2 at its relaxed geometry.

The space group is P4/mmm (No. 123) and the conventional cell measures 3.421, 3.421 and 6.992 Å, with angles of 90.00, 90.00 and 90.00 degrees. The asymmetric unit holds Gd at (0.000, 0.000, 0.000), Lu at (0.000, 0.000, 0.500) and Cu at (0.500, 0.500, 0.271).

The calculation puts the magnetization at 7.2 μB per formula unit. The energy above the lowest structure with this stoichiometry comes out at 0 meV/atom. The calculated total energy is -6.959 eV per atom. The calculation puts the formation energy at -1.0 eV/f.u.



(6)
DFT (PBE) results for crystalline TlCd2PdS at its relaxed geometry.

The space group is P4/mmm (No. 123) and the conventional cell measures 5.708, 5.708 and 4.994 Å, with angles of 90.00, 90.00 and 90.00 degrees. The asymmetric unit holds Tl at (0.000, 0.000, 0.000), Cd at (0.000, 0.500, 0.000), Pd at (0.500, 0.500, 0.500) and S at (0.000, 0.000, 0.500).

The calculation puts the magnetization at 0.0 μB per formula unit. The calculated total energy is -1.871 eV per atom. The uncorrected formation energy comes out at 832.3 meV per atom.



(7)
DFT (PBE) results for crystalline RbHg2PSe4 at its relaxed geometry.

The space group is Fmm2 (No. 42) and the conventional cell measures 10.255, 10.943 and 8.928 Å, with angles of 90.00, 90.00 and 90.00 degrees. The asymmetric unit holds Rb at (0.000, 0.000, 0.000), Hg at (0.250, 0.250, 0.190), P at (0.000, 0.000, 0.501), Se at (0.000, 0.168, 0.363) and Se at (0.181, 0.000, 0.653).

The calculation puts the magnetization at 0.0 μB per formula unit. The calculated total energy is -2.924 eV per atom. The uncorrected formation energy comes out at -309.6 meV per atom.



(8)
DFT (PBE) results for crystalline Ac2HgIr2 at its relaxed geometry.

The space group is Cmmm (No. 65) and the conventional cell measures 4.274, 14.693 and 4.290 Å, with angles of 90.00, 90.00 and 90.00 degrees. The asymmetric unit holds Ac at (0.000, 0.136, 0.000), Hg at (0.000, 0.500, 0.500) and Ir at (0.000, 0.303, 0.500).

The calculation puts the magnetization at 0.0 μB per formula unit. The energy above the lowest structure with this stoichiometry comes out at 0 meV/atom. The calculated total energy is -5.780 eV per atom. The calculation puts the formation energy at -2.7 eV/f.u.



(9)
DFT (PBE) results for crystalline BePdPt2 at its relaxed geometry.

The space group is P2_1/m (No. 11) and the conventional cell measures 3.481, 7.196 and 4.753 Å, with angles of 90.00, 111.47 and 90.00 degrees. The asymmetric unit holds Be at (0.234, 0.250, 0.467), Pd at (0.062, 0.750, 0.126) and Pt at (0.358, 0.559, 0.717).

The calculation puts the magnetization at 0.0 μB per formula unit. The energy above the lowest structure with this stoichiometry comes out at 66 meV/atom. The calculated total energy is -5.651 eV per atom. The calculation puts the formation energy at -1.6 eV/f.u.



(10)
DFT (PBE) results for crystalline Li2Hg2I7 at its relaxed geometry.

The space group is C2/m (No. 12) and the conventional cell measures 16.496, 12.104 and 6.440 Å, with angles of 90.00, 107.25 and 90.00 degrees. The asymmetric unit holds Li at (0.000, 0.188, 0.000), Hg at (0.118, 0.500, 0.234), I at (0.000, 0.500, 0.500), I at (0.002, 0.000, 0.748) and I at (0.156, 0.289, 0.163).

The calculation puts the magnetization at 0.0 μB per formula unit. The calculated total energy is -1.912 eV per atom. The uncorrected formation energy comes out at -523.1 meV per atom.



(11)
DFT (PBE) results for crystalline Dy7AsP5 at its relaxed geometry.

The space group is Cmcm (No. 63) and the conventional cell measures 3.998, 13.167 and 23.508 Å, with angles of 90.00, 90.00 and 90.00 degrees. The asymmetric unit holds Dy at (0.000, 0.044, 0.250), Dy at (0.000, 0.136, 0.535), Dy at (0.000, 0.322, 0.175), Dy at (0.000, 0.410, 0.605), As at (0.000, 0.297, 0.750), P at (0.000, 0.044, 0.645), P at (0.000, 0.228, 0.074) and P at (0.000, 0.500, 0.000).

The calculation puts the magnetization at 0.4 μB per formula unit. The calculated total energy is -6.406 eV per atom. The calculation puts the formation energy at -19.4 eV/f.u.



(12)
DFT (PBE) results for crystalline LiPmUO5 at its relaxed geometry.

The space group is C2/c (No. 15) and the conventional cell measures 6.640, 9.497 and 7.605 Å, with angles of 90.00, 108.89 and 90.00 degrees. The asymmetric unit holds Li at (0.000, 0.188, 0.250), Pm at (0.000, 0.137, 0.750), U at (0.000, 0.500, 0.000), O at (0.000, 0.387, 0.750), O at (0.128, 0.321, 0.130) and O at (0.179, 0.053, 0.440).

The calculation puts the magnetization at 0.0 μB per formula unit. The calculated total energy is -8.368 eV per atom. The uncorrected formation energy comes out at -3024.9 meV per atom.



(13)
DFT (PBE) results for crystalline CuTeSe4 at its relaxed geometry.

The space group is P2/c (No. 13) and the conventional cell measures 5.167, 7.869 and 8.247 Å, with angles of 90.00, 108.41 and 90.00 degrees. The asymmetric unit holds Cu at (0.000, 0.249, 0.250), Te at (0.500, 0.289, 0.750), Se at (0.199, 0.426, 0.081) and Se at (0.216, 0.055, 0.485).

The calculation puts the magnetization at 0.0 μB per formula unit. The energy above the lowest structure with this stoichiometry comes out at 0 meV/atom. The calculated total energy is -3.495 eV per atom. The uncorrected formation energy comes out at 34.3 meV per atom.



(14)
DFT (PBE) results for crystalline Pr6Y3Tm2 at its relaxed geometry.

The space group is P-1 (No. 2) and the conventional cell measures 6.176, 6.887 and 9.927 Å, with angles of 89.26, 89.21 and 63.44 degrees. The asymmetric unit holds Pr at (0.101, 0.393, 0.318), Pr at (0.210, 0.227, 0.951), Pr at (0.252, 0.856, 0.227), Y at (0.343, 0.682, 0.867), Y at (0.500, 0.500, 0.500) and Tm at (0.267, 0.046, 0.599).

The calculation puts the magnetization at 0.0 μB per formula unit. The energy above the lowest structure with this stoichiometry comes out at 0 meV/atom. The calculated total energy is -5.105 eV per atom. The calculation puts the formation energy at 0.9 eV/f.u.



(15)
DFT (PBE) results for crystalline KN6 at its relaxed geometry.

The space group is P4/mmm (No. 123) and the conventional cell measures 4.866, 4.866 and 5.377 Å, with angles of 90.00, 90.00 and 90.00 degrees. The asymmetric unit holds K at (0.000, 0.000, 0.000), N at (0.000, 0.500, 0.394) and N at (0.500, 0.500, 0.106).

The calculation puts the magnetization at 0.0 μB per formula unit. The calculated total energy is -7.334 eV per atom. The uncorrected formation energy comes out at -40.9 meV per atom.



(16)
DFT (PBE) results for crystalline TbInAs2O8 at its relaxed geometry.

The space group is I-4 (No. 82) and the conventional cell measures 4.990, 4.990 and 11.375 Å, with angles of 90.00, 90.00 and 90.00 degrees. The asymmetric unit holds Tb at (0.000, 0.000, 0.000), In at (0.000, 0.500, 0.750), As at (0.000, 0.000, 0.500), As at (0.000, 0.500, 0.250), O at (0.153, 0.253, 0.580) and O at (0.158, 0.755, 0.172).

The calculation puts the magnetization at 0.0 μB per formula unit. The calculated total energy is -6.528 eV per atom. The uncorrected formation energy comes out at -1833.3 meV per atom.



(17)
DFT (PBE) results for crystalline MgCSe3 at its relaxed geometry.

The space group is Pm-3m (No. 221) and the conventional cell measures 4.478, 4.478 and 4.478 Å, with angles of 90.00, 90.00 and 90.00 degrees. The asymmetric unit holds Mg at (0.000, 0.000, 0.000), C at (0.500, 0.500, 0.500) and Se at (0.000, 0.500, 0.500).

The calculation puts the magnetization at 0.0 μB per formula unit. The energy above the lowest structure with this stoichiometry comes out at 0 meV/atom. The calculated total energy is -3.569 eV per atom. The uncorrected formation energy comes out at 685.3 meV per atom.



(18)
DFT (PBE) results for crystalline CuSbW2 at its relaxed geometry.

The space group is F-43m (No. 216) and the conventional cell measures 6.416, 6.416 and 6.416 Å, with angles of 90.00, 90.00 and 90.00 degrees. The asymmetric unit holds Cu at (0.000, 0.000, 0.000), Sb at (0.250, 0.250, 0.250), W at (0.000, 0.000, 0.500) and W at (0.250, 0.250, 0.750).

The calculation puts the magnetization at 0.0 μB per formula unit. The calculated total energy is -7.919 eV per atom. The uncorrected formation energy comes out at 611.9 meV per atom.



(19)
DFT (PBE) results for crystalline Be3HIr at its relaxed geometry.

The space group is Pm-3m (No. 221) and the conventional cell measures 3.444, 3.444 and 3.444 Å, with angles of 90.00, 90.00 and 90.00 degrees. The asymmetric unit holds Be at (0.000, 0.000, 0.500), H at (0.000, 0.000, 0.000) and Ir at (0.500, 0.500, 0.500).

The calculation puts the magnetization at 0.0 μB per formula unit. The energy above the lowest structure with this stoichiometry comes out at 0 meV/atom. The calculated total energy is -4.872 eV per atom.



(20)
DFT (PBE) results for crystalline OsRu2Cl at its relaxed geometry.

The space group is Cm (No. 8) and the conventional cell measures 9.861, 2.806 and 4.293 Å, with angles of 90.00, 90.37 and 90.00 degrees. The asymmetric unit holds Os at (0.000, 0.000, 0.000), Ru at (0.218, 0.500, 0.206), Ru at (0.434, 0.000, 0.473) and Cl at (0.216, 0.000, 0.707).

The calculation puts the magnetization at 0.0 μB per formula unit. The energy above the lowest structure with this stoichiometry comes out at 305 meV/atom. The calculated total energy is -7.199 eV per atom. The uncorrected formation energy comes out at 707.7 meV per atom.



(21)
DFT (PBE) results for crystalline ScTe2Ir at its relaxed geometry.

The space group is Cmmm (No. 65) and the conventional cell measures 6.067, 7.553 and 4.176 Å, with angles of 90.00, 90.00 and 90.00 degrees. The asymmetric unit holds Sc at (0.000, 0.000, 0.000), Te at (0.000, 0.280, 0.500) and Ir at (0.000, 0.500, 0.000).

The calculation puts the magnetization at 0.0 μB per formula unit. The energy above the lowest structure with this stoichiometry comes out at 481 meV/atom. The calculated total energy is -5.572 eV per atom. The uncorrected formation energy comes out at -202.7 meV per atom.



(22)
DFT (PBE) results for crystalline AcCdGa2Au5 at its relaxed geometry.

The space group is P4/mmm (No. 123) and the conventional cell measures 5.112, 5.112 and 7.627 Å, with angles of 90.00, 90.00 and 90.00 degrees. The asymmetric unit holds Ac at (0.000, 0.000, 0.000), Cd at (0.000, 0.000, 0.500), Ga at (0.500, 0.500, 0.338), Au at (0.000, 0.500, 0.275) and Au at (0.500, 0.500, 0.000).

The calculation puts the magnetization at 0.0 μB per formula unit. The calculated total energy is -3.402 eV per atom. The calculation puts the formation energy at -3.2 eV/f.u.



(23)
DFT (PBE) results for crystalline HoTm3Cd2 at its relaxed geometry.

The space group is P4/mmm (No. 123) and the conventional cell measures 3.549, 3.549 and 12.981 Å, with angles of 90.00, 90.00 and 90.00 degrees. The asymmetric unit holds Ho at (0.000, 0.000, 0.000), Tm at (0.500, 0.500, 0.189), Tm at (0.500, 0.500, 0.500) and Cd at (0.000, 0.000, 0.347).

The calculation puts the magnetization at 0.0 μB per formula unit. The calculated total energy is -3.496 eV per atom. The calculation puts the formation energy at -1.2 eV/f.u.



(24)
DFT (PBE) results for crystalline Er2ZnS at its relaxed geometry.

The space group is R-3m (No. 166, hexagonal axes) and the conventional cell measures 3.6431, 3.6431 and 27.6285 Å, with angles of 90.00, 90.00 and 120.00 degrees. The asymmetric unit holds Er at (0.0000, 0.0000, 0.1074), Zn at (0.0000, 0.0000, 0.0000) and S at (0.0000, 0.0000, 0.5000).

The calculation puts the magnetization at 0.0 μB per formula unit. The energy above the lowest structure with this stoichiometry comes out at 514 meV/atom. The calculated total energy is -4.272 eV per atom. The uncorrected formation energy comes out at -639.7 meV per atom.



(25)
DFT (PBE) results for crystalline GdErSn2 at its relaxed geometry.

The space group is R-3m (No. 166, hexagonal axes) and the conventional cell measures 3.8406, 3.8406 and 26.9673 Å, with angles of 90.00, 90.00 and 120.00 degrees. The asymmetric unit holds Gd at (0.0000, 0.0000, 0.0000), Er at (0.0000, 0.0000, 0.5000) and Sn at (0.0000, 0.0000, 0.2487).

The calculation puts the magnetization at 7.1 μB per formula unit. The energy above the lowest structure with this stoichiometry comes out at 125 meV/atom. The calculated total energy is -7.185 eV per atom. The calculation puts the formation energy at -2.1 eV/f.u.